1.
LaCuP2: optimized geometry, PBE.

abc: 4.351 4.351 4.044
angles: 90.00 90.00 90.00
Fractional coordinates of all 4 atoms:
La1 0.000 0.000 0.000
Cu1 0.500 0.500 0.000
P1 0.000 0.500 0.500
P2 0.500 0.000 0.500

Values from the calculation:
Density of states at the Fermi level = 0.58 states/eV/atom
E_form = -0.3931 eV/atom
Total DFT energy (no corrections) = -5.354 eV/atom
Space-group type = P4/mmm, No. 123
Size of the total moment = 0.000 Bohr magnetons per cell

=====

2.
Cr2FeRe: optimized geometry, PBE.

abc: 2.977 4.092 4.110
angles: 90.00 90.00 90.00
Fractional coordinates of all 4 atoms:
Cr1 0.000 0.000 0.000
Cr2 0.500 0.500 0.000
Fe1 0.000 0.500 0.500
Re1 0.500 0.000 0.500

Values from the calculation:
Density of states at the Fermi level = 0.79 states/eV/atom
E_form = 0.0857 eV/atom
Total DFT energy (no corrections) = -9.954 eV/atom
Space-group type = Pmmm, No. 47
Size of the total moment = 2.664 Bohr magnetons per cell

=====

3.
Cr2AsRu: optimized geometry, PBE.

abc: 7.991 7.991 7.991
angles: 20.29 20.29 20.29
Fractional coordinates of all 4 atoms:
Cr1 0.000 0.000 0.000
Cr2 0.259 0.259 0.259
As1 0.509 0.509 0.509
Ru1 0.752 0.752 0.752

Values from the calculation:
Density of states at the Fermi level = 0.84 states/eV/atom
E_form = 0.2232 eV/atom
Total DFT energy (no corrections) = -8.070 eV/atom
Space-group type = R3m, No. 160
Size of the total moment = 0.000 Bohr magnetons per cell

=====

4.
YTeSe2: optimized geometry, PBE.

abc: 4.696 5.616 4.742
angles: 90.00 108.95 90.00
Fractional coordinates of all 4 atoms:
Y1 0.000 0.000 0.000
Te1 0.755 0.500 0.247
Se1 0.035 0.500 0.836
Se2 0.377 0.000 0.616

Values from the calculation:
Raw formation energy = -0.911 eV/atom
Density of states at the Fermi level = 0.40 states/eV/atom
Total DFT energy (no corrections) = -5.055 eV/atom
Space-group type = Pm, No. 6
Size of the total moment = 0.000 Bohr magnetons per cell

=====

Question: Number 2 is which compound?
Answer: Cr2FeRe

=====

Question: Look up the size of the total moment of the third one.
Answer: 0.000 Bohr magnetons per cell

=====

Question: Look up the density of states at the Fermi level of the first one.
Answer: 0.58 states/eV/atom

=====

Question: Which value of density of states at the Fermi level does entry 1 give?
Answer: 0.58 states/eV/atom